A plane-wave DFT calculation with PBE was carried out for ZrSb2Os after structural relaxation.

POSCAR file:
```
ZrSb2Os
1.0
0.000 3.471 3.471
3.471 0.000 3.471
3.471 3.471 0.000
Zr Sb Os
1 2 1
direct
0.000 0.000 0.000
0.250 0.250 0.250
0.500 0.500 0.500
0.750 0.750 0.750
```

Computed properties:
Its electronic total energy is -6.692 eV per atom.